Record 1
Computed, not measured: a geometry-optimized Re2SiMo structure at the GGA-PBE level of DFT.

a b c (Å): 6.1532 6.1532 6.1532
angles (deg): 90.00 90.00 90.00
Closest atoms and distances in Å follow each position.
Atoms (fractional coordinates):
1 Re 0.0000 0.0000 0.0000  4 Re 2.66, 4 Si 2.66
2 Re 0.0000 0.5000 0.5000  4 Re 2.66, 4 Si 2.66
3 Re 0.2500 0.2500 0.2500  4 Mo 2.66, 4 Re 2.66
4 Re 0.2500 0.7500 0.7500  4 Mo 2.66, 4 Re 2.66
5 Re 0.5000 0.0000 0.5000  4 Re 2.66, 4 Si 2.66
6 Re 0.5000 0.5000 0.0000  4 Re 2.66, 4 Si 2.66
7 Re 0.7500 0.2500 0.7500  4 Mo 2.66, 4 Re 2.66
8 Re 0.7500 0.7500 0.2500  4 Mo 2.66, 4 Re 2.66
9 Si 0.2500 0.2500 0.7500  4 Mo 2.66, 4 Re 2.66
10 Si 0.2500 0.7500 0.2500  4 Mo 2.66, 4 Re 2.66
11 Si 0.7500 0.2500 0.2500  4 Mo 2.66, 4 Re 2.66
12 Si 0.7500 0.7500 0.7500  4 Mo 2.66, 4 Re 2.66
13 Mo 0.0000 0.0000 0.5000  4 Re 2.66, 4 Si 2.66
14 Mo 0.0000 0.5000 0.0000  4 Re 2.66, 4 Si 2.66
15 Mo 0.5000 0.0000 0.0000  4 Re 2.66, 4 Si 2.66
16 Mo 0.5000 0.5000 0.5000  4 Re 2.66, 4 Si 2.66

## Properties
raw formation energy = 0.3 eV per formula unit
uncorrected energy = -10.203 eV/atom
total magnetization = 0.00 μB/f.u.
N(E_F) = 18.4 states/eV per cell

=====

Record 2
Computed, not measured: a geometry-optimized ReSiMo2 structure at the GGA-PBE level of DFT.

a b c (Å): 2.8458 4.0837 5.1210
angles (deg): 90.00 90.34 90.00
Closest atoms and distances in Å follow each position.
Atoms (fractional coordinates):
1 Re 0.0000 0.0000 0.0000  2 Si 2.56, 8 Mo 2.81-2.82, 2 Re 2.85
2 Si 0.0000 0.0000 0.5000  2 Re 2.56, 8 Mo 2.77-2.79, 2 Si 2.85
3 Mo 0.4938 0.5000 0.7427  2 Mo 2.49-2.63, 2 Si 2.77
4 Mo 0.5062 0.5000 0.2573  2 Mo 2.49-2.63, 2 Si 2.77

## Properties
raw formation energy = -0.3 eV per formula unit
uncorrected energy = -9.964 eV/atom
total magnetization = 0.00 μB/f.u.
N(E_F) = 2.2 states/eV per cell

=====

Record 3
Computed, not measured: a geometry-optimized Re2SiMo structure at the GGA-PBE level of DFT.

a b c (Å): 2.9909 4.3829 8.8042
angles (deg): 90.00 90.00 90.00
Closest atoms and distances in Å follow each position.
Atoms (fractional coordinates):
1 Re 0.0000 0.0000 0.2331  2 Si 2.54, 4 Re 2.67, 2 Mo 2.79
2 Re 0.0000 0.0000 0.7669  2 Si 2.54, 4 Re 2.67, 2 Mo 2.79
3 Re 0.5000 0.5000 0.2669  2 Si 2.54, 4 Re 2.67, 2 Mo 2.79
4 Re 0.5000 0.5000 0.7331  2 Si 2.54, 4 Re 2.67, 2 Mo 2.79
5 Si 0.0000 0.5000 0.5000  4 Re 2.54, 4 Mo 2.65
6 Si 0.5000 0.0000 0.0000  4 Re 2.54, 4 Mo 2.65
7 Mo 0.0000 0.5000 0.0000  4 Si 2.65, 4 Re 2.79
8 Mo 0.5000 0.0000 0.5000  4 Si 2.65, 4 Re 2.79

## Properties
raw formation energy = -0.4 eV per formula unit
uncorrected energy = -10.394 eV/atom
total magnetization = 0.00 μB/f.u.
N(E_F) = 5.3 states/eV per cell

=====

total magnetization of number 2 (ReSiMo2)?
0.00 μB/f.u.